First-principles (PBE) data for a geometry-optimized Li2HfTa3N6 structure, as listed in the Alexandria database.

Summary:
E_form (uncorrected)   -1.2338 eV per atom
Calculated total energy   -9.508 eV/atom

a b c (Å): 5.334 9.227 5.429
angles (deg): 90.00 108.60 90.00
Space group C2/m (No. 12)
One atom of each set of equivalent atoms:
Li: 0.000 0.165 0.000
Hf: 0.000 0.500 0.000
Ta: 0.000 0.000 0.500
Ta: 0.000 0.324 0.500
N: 0.239 0.500 0.732
N: 0.250 0.166 0.742



First-principles (PBE) data for a geometry-optimized K2NbTl3Se6 structure, as listed in the Alexandria database.

Summary:
E_form (uncorrected)   -0.6521 eV per atom
Calculated total energy   -4.008 eV/atom

a b c (Å): 7.772 14.110 7.264
angles (deg): 90.00 110.56 90.00
Space group C2/m (No. 12)
One atom of each set of equivalent atoms:
K: 0.000 0.175 0.000
Nb: 0.000 0.500 0.000
Tl: 0.000 0.000 0.500
Tl: 0.000 0.362 0.500
Se: 0.206 0.369 0.225
Se: 0.219 0.500 0.792



Q: Look up the E_form (uncorrected) of the second one.
A: -0.6521 eV per atom



Q: Which value of E_form (uncorrected) does entry 2 give?
A: -0.6521 eV per atom



Q: calculated total energy of number 1 (Li2HfTa3N6)?
A: -9.508 eV/atom



Q: calculated total energy of number 2 (K2NbTl3Se6)?
A: -4.008 eV/atom